(1)
VASP calculation (PBEsol) on ZnAuSe2 after structural relaxation.

formation energy (no corrections): 0.300 eV/atom
size of the total moment: 0.00 μB per formula unit
crystal system: tetragonal
E_tot: -3.00 eV per atom
space-group type: P4/mmm (123)

```
4
Lattice="3.160 0.000 0.000 0.000 3.160 0.000 0.000 0.000 7.246" Properties=species:S:1:pos:R:3 pbc="T T T"
Se 0.000 0.000 1.718
Se 0.000 0.000 5.528
Zn 1.580 1.580 0.000
Au 1.580 1.580 3.623
```


(2)
VASP calculation (PBEsol) on BaSiTcRh2 after structural relaxation.

formation energy (no corrections): 0.224 eV/atom
size of the total moment: 1.64 μB per formula unit
crystal system: tetragonal
E_tot: -6.86 eV per atom
space-group type: P4/mmm (123)

```
5
Lattice="4.564 0.000 0.000 0.000 4.564 0.000 0.000 0.000 4.603" Properties=species:S:1:pos:R:3 pbc="T T T"
Rh 0.000 2.282 0.000
Tc 0.000 0.000 2.302
Ba 2.282 2.282 2.302
Rh 2.282 0.000 0.000
Si 0.000 0.000 0.000
```